# 1
Below is crystalline Nd2MgCd2 at its relaxed geometry, with properties calculated at the PBE level.

The formation energy is -197 meV per atom.

The structure belongs to space group C2/m (No. 12); the cell edges are 11.204, 4.962 and 11.342 Å and the angles 90.00°, 116.70° and 90.00°. Symmetry generates all atoms from Nd at (0.078, 0.000, 0.396), Nd at (0.174, 0.500, 0.186), Mg at (0.151, 0.500, 0.868), Cd at (0.069, 0.000, 0.924) and Cd at (0.137, 0.500, 0.609).

=====

# 2
Below is crystalline SrGe2Bi2 at its relaxed geometry, with properties calculated at the PBE level.

The formation energy is -5 meV per atom.

The structure belongs to space group P4/mbm (No. 127); the cell edges are 8.618, 8.618 and 3.939 Å and the angles 90.00°, 90.00° and 90.00°. Symmetry generates all atoms from Sr at (0.000, 0.000, 0.000), Ge at (0.156, 0.344, 0.500) and Bi at (0.135, 0.635, 0.000).

=====

# 3
Below is crystalline ScPaInSn at its relaxed geometry, with properties calculated at the PBE level.

The formation energy is -162 meV per atom.

The structure belongs to space group F-43m (No. 216); the cell edges are 7.363, 7.363 and 7.363 Å and the angles 90.00°, 90.00° and 90.00°. Symmetry generates all atoms from Sc at (0.000, 0.000, 0.000), Pa at (0.000, 0.000, 0.500), In at (0.250, 0.250, 0.750) and Sn at (0.250, 0.250, 0.250).